(1)
Here is a relaxed structure of Ti2Ag2Pb from the Alexandria database. Energies are from GGA-PBE.

```
10
Lattice="-7.471 -0.444 -2.899 -2.426 -3.520 6.792 -0.645 2.819 1.231" Properties=species:S:1:pos:R:3 pbc="T T T"
Pb 0.000 0.000 0.000
Pb -4.949 -1.982 1.947
Ag -3.265 -1.043 4.692
Ag -7.366 -1.795 4.265
Ag -7.277 -0.102 0.432
Ag -3.177 0.650 0.859
Ti -5.027 -3.287 4.896
Ti -8.105 -2.557 1.609
Ti -4.871 -0.677 -1.003
Ti -1.792 -1.407 2.285
```

magnetization = 1.7 μB/f.u.
E_tot = -4.7710 eV/atom
space group = No. 127
energy above the most stable polymorph in this dataset = 57 meV/atom



(2)
Here is a relaxed structure of LaNbTcBi2 from the Alexandria database. Energies are from GGA-PBE.

```
5
Lattice="-5.163 1.515 1.435 -1.717 -2.338 -3.712 -0.482 -4.591 3.115" Properties=species:S:1:pos:R:3 pbc="T T T"
Tc -0.859 -1.169 -1.856
Nb 0.000 0.000 0.000
Bi -0.241 -2.296 1.557
Bi -2.582 0.758 0.717
La -3.681 -2.707 0.419
```

magnetization = 0.9 μB/f.u.
E_tot = -6.2012 eV/atom
space group = No. 123